# 1
Here is a geometry-optimized HgICl structure from the Alexandria database. Energies are from PBE-GGA.

ΔE_f (raw)	-444	meV per atom
spin magnetization	0.00	μB/f.u.
uncorrected energy	-1.677	eV per atom

Cell and atoms, written as CIF:
```
data_HgICl
_chemical_formula_sum 'Hg2 I2 Cl2'
_cell_length_a 4.4074
_cell_length_b 7.2202
_cell_length_c 8.2041
_cell_angle_alpha 105.51
_cell_angle_beta 100.22
_cell_angle_gamma 92.31
_symmetry_space_group_name_H-M 'P -1'
_symmetry_Int_Tables_number 2
loop_
_symmetry_equiv_pos_as_xyz
'x,y,z'
'-x,-y,-z'
loop_
_atom_site_label
_atom_site_type_symbol
_atom_site_fract_x
_atom_site_fract_y
_atom_site_fract_z
Hg1 Hg 0.2140 0.4648 0.2325
I1 I 0.3868 0.7757 0.6877
Cl1 Cl 0.1041 0.2941 0.8297
```



# 2
Here is a geometry-optimized Li4Mg5 structure from the Alexandria database. Energies are from PBE-GGA.

energy of formation	-0.0559	eV per atom
E above lowest polymorph	0.00	kJ per mole of atoms
spin magnetization	0.00	μB/f.u.
uncorrected energy	-1.792	eV per atom

Cell and atoms, written as CIF:
```
data_Li4Mg5
_chemical_formula_sum 'Li8 Mg10'
_cell_length_a 10.3679
_cell_length_b 4.9275
_cell_length_c 8.7808
_cell_angle_alpha 90.00
_cell_angle_beta 124.45
_cell_angle_gamma 90.00
_symmetry_space_group_name_H-M 'C 1 2/m 1'
_symmetry_Int_Tables_number 12
loop_
_symmetry_equiv_pos_as_xyz
'x,y,z'
'-x,-y,-z'
'-x,y,-z'
'x,-y,z'
'x+1/2,y+1/2,z'
'-x+1/2,-y+1/2,-z'
'-x+1/2,y+1/2,-z'
'x+1/2,-y+1/2,z'
loop_
_atom_site_label
_atom_site_type_symbol
_atom_site_fract_x
_atom_site_fract_y
_atom_site_fract_z
Li1 Li 0.0461 0.0000 0.2215
Li2 Li 0.1600 0.0000 0.6650
Mg1 Mg 0.0000 0.5000 0.0000
Mg2 Mg 0.1229 0.5000 0.4508
Mg3 Mg 0.2285 0.5000 0.8806
```



# 3
Here is a geometry-optimized Li9CdPd2 structure from the Alexandria database. Energies are from PBE-GGA.

energy of formation	-0.2330	eV per atom
spin magnetization	0.00	μB/f.u.
uncorrected energy	-2.610	eV per atom

Cell and atoms, written as CIF:
```
data_Li9CdPd2
_chemical_formula_sum 'Li9 Cd1 Pd2'
_cell_length_a 4.1171
_cell_length_b 6.3392
_cell_length_c 8.4773
_cell_angle_alpha 98.05
_cell_angle_beta 103.95
_cell_angle_gamma 108.87
_symmetry_space_group_name_H-M 'P -1'
_symmetry_Int_Tables_number 2
loop_
_symmetry_equiv_pos_as_xyz
'x,y,z'
'-x,-y,-z'
loop_
_atom_site_label
_atom_site_type_symbol
_atom_site_fract_x
_atom_site_fract_y
_atom_site_fract_z
Li1 Li 0.0000 0.0000 0.0000
Li2 Li 0.0372 0.2831 0.7883
Li3 Li 0.3190 0.4196 0.2173
Li4 Li 0.3398 0.1744 0.5050
Li5 Li 0.3460 0.9198 0.7714
Cd1 Cd 0.0000 0.5000 0.5000
Pd1 Pd 0.3404 0.6828 0.0028
```



# 4
Here is a geometry-optimized Dy5YHg2 structure from the Alexandria database. Energies are from PBE-GGA.

energy of formation	-0.1643	eV per atom
spin magnetization	0.00	μB/f.u.
uncorrected energy	-3.924	eV per atom

Cell and atoms, written as CIF:
```
data_Dy5YHg2
_chemical_formula_sum 'Dy10 Y2 Hg4'
_cell_length_a 3.7118
_cell_length_b 10.2177
_cell_length_c 12.2636
_cell_angle_alpha 90.00
_cell_angle_beta 90.00
_cell_angle_gamma 90.00
_symmetry_space_group_name_H-M 'I m m m'
_symmetry_Int_Tables_number 71
_symmetry_space_group_name_Hall '-I 2 2'
loop_
_atom_site_label
_atom_site_type_symbol
_atom_site_fract_x
_atom_site_fract_y
_atom_site_fract_z
Dy1 Dy 0.0000 0.0000 0.0000
Dy2 Dy 0.0000 0.2766 0.3628
Y1 Y 0.0000 0.5000 0.0000
Hg1 Hg 0.0000 0.0000 0.2661
```



# 5
Here is a geometry-optimized La2UGe3Ir4 structure from the Alexandria database. Energies are from PBE-GGA.

energy of formation	-0.7331	eV per atom
spin magnetization	1.92	μB/f.u.
uncorrected energy	-7.777	eV per atom

Cell and atoms, written as CIF:
```
data_La2UGe3Ir4
_chemical_formula_sum 'La2 U1 Ge3 Ir4'
_cell_length_a 4.2879
_cell_length_b 4.2879
_cell_length_c 11.0213
_cell_angle_alpha 90.00
_cell_angle_beta 90.00
_cell_angle_gamma 90.00
_symmetry_space_group_name_H-M 'P -4 m 2'
_symmetry_Int_Tables_number 115
loop_
_symmetry_equiv_pos_as_xyz
'x,y,z'
'y,-x,-z'
'-x,-y,z'
'-y,x,-z'
'-x,y,z'
'-y,-x,-z'
'x,-y,z'
'y,x,-z'
loop_
_atom_site_label
_atom_site_type_symbol
_atom_site_fract_x
_atom_site_fract_y
_atom_site_fract_z
La1 La 0.0000 0.5000 0.2311
U1 U 0.0000 0.0000 0.5000
Ge1 Ge 0.0000 0.5000 0.8775
Ge2 Ge 0.5000 0.5000 0.5000
Ir1 Ir 0.0000 0.0000 0.0000
Ir2 Ir 0.0000 0.5000 0.6491
Ir3 Ir 0.5000 0.5000 0.0000
```



# 6
Here is a geometry-optimized ScInAg4 structure from the Alexandria database. Energies are from PBE-GGA.

energy of formation	-0.1120	eV per atom
spin magnetization	0.00	μB/f.u.
uncorrected energy	-3.524	eV per atom

Cell and atoms, written as CIF:
```
data_ScInAg4
_chemical_formula_sum 'Sc4 In4 Ag16'
_cell_length_a 7.8051
_cell_length_b 7.8051
_cell_length_c 7.8051
_cell_angle_alpha 90.00
_cell_angle_beta 90.00
_cell_angle_gamma 90.00
_symmetry_space_group_name_H-M 'F -4 3 m'
_symmetry_Int_Tables_number 216
_symmetry_space_group_name_Hall 'F -4 2 3'
loop_
_atom_site_label
_atom_site_type_symbol
_atom_site_fract_x
_atom_site_fract_y
_atom_site_fract_z
Sc1 Sc 0.0000 0.0000 0.0000
In1 In 0.2500 0.2500 0.2500
Ag1 Ag 0.1252 0.1252 0.6252
```